Record 1
GGA-PBE SmTh2PtN4, optimized geometry; energy relative to the elements, uncorrected = -1058 meV per atom; E = -8.421 eV per atom; density of states at the Fermi level = 5.72 states/eV/cell; M_tot = 0.0 μB per formula unit; crystal system = orthorhombic
1.0
1.769 -6.021 0.000
1.769 6.021 0.000
0.000 0.000 12.194
Sm Th Pt N
2 4 2 8
direct
0.114 0.886 0.750
0.886 0.114 0.250
0.371 0.629 0.557
0.371 0.629 0.943
0.629 0.371 0.057
0.629 0.371 0.443
0.150 0.850 0.250
0.850 0.150 0.750
0.000 0.000 0.000
0.000 0.000 0.500
0.277 0.723 0.117
0.277 0.723 0.383
0.462 0.538 0.750
0.538 0.462 0.250
0.723 0.277 0.617
0.723 0.277 0.883

Record 2
GGA-PBE SmZr2PtN4, optimized geometry; energy relative to the elements, uncorrected = -999 meV per atom; E = -8.644 eV per atom; density of states at the Fermi level = 3.62 states/eV/cell; M_tot = 0.0 μB per formula unit; crystal system = orthorhombic
1.0
1.646 -5.673 0.000
1.646 5.673 0.000
0.000 0.000 11.553
Sm Zr Pt N
2 4 2 8
direct
0.118 0.882 0.750
0.882 0.118 0.250
0.370 0.630 0.550
0.370 0.630 0.950
0.630 0.370 0.050
0.630 0.370 0.450
0.146 0.854 0.250
0.854 0.146 0.750
0.000 0.000 0.000
0.000 0.000 0.500
0.273 0.727 0.109
0.273 0.727 0.391
0.466 0.534 0.750
0.534 0.466 0.250
0.727 0.273 0.609
0.727 0.273 0.891

Record 3
GGA-PBE SnPtN2, optimized geometry; energy relative to the elements, uncorrected = 1449 meV per atom; E = -5.225 eV per atom; density of states at the Fermi level = 1.25 states/eV/cell; M_tot = 0.0 μB per formula unit; crystal system = cubic
1.0
0.000 2.900 2.900
2.900 0.000 2.900
2.900 2.900 0.000
Sn Pt N
1 1 2
direct
0.000 0.000 0.000
0.500 0.500 0.500
0.250 0.250 0.250
0.750 0.750 0.750

Record 4
GGA-PBE Sn2PtN2, optimized geometry; energy relative to the elements, uncorrected = -77 meV per atom; E = -6.217 eV per atom; density of states at the Fermi level = 1.96 states/eV/cell; energy relative to the lowest polymorph listed for this composition = 0 meV per atom; M_tot = 0.0 μB per formula unit; crystal system = monoclinic
1.0
2.381 -2.382 0.000
2.381 2.382 0.000
-0.201 0.000 10.785
Sn Pt N
2 1 2
direct
0.007 0.007 0.154
0.993 0.993 0.846
0.500 0.500 0.000
0.497 0.497 0.552
0.503 0.503 0.448

Record 5
GGA-PBE Sn2PtN2, optimized geometry; energy relative to the elements, uncorrected = 1044 meV per atom; E = -5.096 eV per atom; density of states at the Fermi level = 4.27 states/eV/cell; energy relative to the lowest polymorph listed for this composition = 1121 meV per atom; M_tot = 0.0 μB per formula unit; crystal system = tetragonal
1.0
7.004 0.000 0.000
0.000 7.004 0.000
0.000 0.000 3.079
Sn Pt N
4 2 4
direct
0.150 0.350 0.000
0.350 0.850 0.000
0.650 0.150 0.000
0.850 0.650 0.000
0.000 0.000 0.000
0.500 0.500 0.000
0.125 0.625 0.500
0.375 0.125 0.500
0.625 0.875 0.500
0.875 0.375 0.500

Record 6
GGA-PBE Sn2PtN2, optimized geometry; energy relative to the elements, uncorrected = 771 meV per atom; E = -5.368 eV per atom; density of states at the Fermi level = 3.47 states/eV/cell; energy relative to the lowest polymorph listed for this composition = 848 meV per atom; M_tot = 0.0 μB per formula unit; crystal system = tetragonal
1.0
-1.837 1.837 5.805
1.837 -1.837 5.805
1.837 1.837 -5.805
Sn Pt N
2 1 2
direct
0.147 0.147 0.000
0.853 0.853 0.000
0.500 0.500 0.000
0.250 0.750 0.500
0.750 0.250 0.500

Record 7
GGA-PBE SnPt2N, optimized geometry; energy relative to the elements, uncorrected = 194 meV per atom; E = -5.909 eV per atom; density of states at the Fermi level = 4.84 states/eV/cell; energy relative to the lowest polymorph listed for this composition = 0 meV per atom; M_tot = 0.0 μB per formula unit; crystal system = tetragonal
1.0
-2.483 2.483 6.026
2.483 -2.483 6.026
2.483 2.483 -6.026
Sn Pt N
2 4 2
direct
0.000 0.000 0.000
0.750 0.250 0.500
0.254 0.625 0.129
0.375 0.504 0.629
0.496 0.125 0.871
0.875 0.746 0.371
0.250 0.750 0.500
0.500 0.500 0.000

Record 8
GGA-PBE SnPtN3, optimized geometry; energy relative to the elements, uncorrected = 1560 meV per atom; E = -5.444 eV per atom; density of states at the Fermi level = 3.58 states/eV/cell; M_tot = 1.7 μB per formula unit; crystal system = cubic
1.0
3.988 0.000 0.000
0.000 3.988 0.000
0.000 0.000 3.988
Sn Pt N
1 1 3
direct
0.000 0.000 0.000
0.500 0.500 0.500
0.000 0.500 0.500
0.500 0.000 0.500
0.500 0.500 0.000

Record 9
GGA-PBE SnPtN3, optimized geometry; energy relative to the elements, uncorrected = 2143 meV per atom; E = -4.861 eV per atom; density of states at the Fermi level = 5.01 states/eV/cell; M_tot = 0.1 μB per formula unit; crystal system = cubic
1.0
4.086 0.000 0.000
0.000 4.086 0.000
0.000 0.000 4.086
Sn Pt N
1 1 3
direct
0.000 0.000 0.000
0.500 0.500 0.500
0.000 0.000 0.500
0.000 0.500 0.000
0.500 0.000 0.000

Record 10
GGA-PBE SnPt2N, optimized geometry; energy relative to the elements, uncorrected = 838 meV per atom; E = -5.264 eV per atom; density of states at the Fermi level = 3.91 states/eV/cell; energy relative to the lowest polymorph listed for this composition = 645 meV per atom; M_tot = 0.0 μB per formula unit; crystal system = cubic
1.0
0.000 3.127 3.127
3.127 0.000 3.127
3.127 3.127 0.000
Sn Pt N
1 2 1
direct
0.000 0.000 0.000
0.250 0.250 0.250
0.750 0.750 0.750
0.500 0.500 0.500

Record 11
GGA-PBE SnTePtN2, optimized geometry; energy relative to the elements, uncorrected = 1221 meV per atom; E = -4.746 eV per atom; density of states at the Fermi level = 2.19 states/eV/cell; energy relative to the lowest polymorph listed for this composition = 84 meV per atom; M_tot = 3.0 μB per formula unit; crystal system = tetragonal
1.0
4.166 0.000 0.000
0.000 4.166 0.000
0.000 0.000 5.656
Sn Te Pt N
1 1 1 2
direct
0.000 0.000 0.000
0.500 0.500 0.000
0.500 0.500 0.500
0.000 0.500 0.500
0.500 0.000 0.500

Record 12
GGA-PBE SnTe2PtN, optimized geometry; energy relative to the elements, uncorrected = 1141 meV per atom; E = -3.789 eV per atom; density of states at the Fermi level = 4.73 states/eV/cell; energy relative to the lowest polymorph listed for this composition = 822 meV per atom; M_tot = 0.6 μB per formula unit; crystal system = tetragonal
1.0
5.743 0.000 0.000
0.000 5.743 0.000
0.000 0.000 3.805
Sn Te Pt N
1 2 1 1
direct
0.000 0.000 0.000
0.000 0.500 0.000
0.500 0.000 0.000
0.500 0.500 0.500
0.000 0.000 0.500